# CaCd3Sn

A relaxed CaCd3Sn crystal (PBE-GGA, the Alexandria database).

Properties
E above lowest polymorph = 0 meV/atom
Total energy = -0.0720 Ha/atom

The structure in CIF format:
```
data_CaCd3Sn
_cell_length_a 6.763
_cell_length_b 6.643
_cell_length_c 6.066
_cell_angle_alpha 90.00
_cell_angle_beta 90.01
_cell_angle_gamma 90.00
_symmetry_space_group_name_H-M 'P 1'
_symmetry_Int_Tables_number 1
loop_
_symmetry_equiv_pos_as_xyz
'x,y,z'
loop_
_atom_site_label
_atom_site_type_symbol
_atom_site_fract_x
_atom_site_fract_y
_atom_site_fract_z
Ca1 Ca 0.472 0.430 0.701
Ca2 Ca 0.972 0.923 0.201
Cd1 Cd 0.320 0.270 0.201
Cd2 Cd 0.479 0.926 0.951
Cd3 Cd 0.980 0.427 0.451
Cd4 Cd 0.820 0.083 0.701
Cd5 Cd 0.980 0.427 0.951
Cd6 Cd 0.480 0.926 0.451
Sn1 Sn 0.127 0.785 0.701
Sn2 Sn 0.627 0.568 0.201
```